# Na3SrAg3

A geometry-optimized Na3SrAg3 structure (PBE, the Alexandria database).

a b c (Å): 7.8861 7.8861 7.8861
angles (deg): 90.00 90.00 90.00
Fractional positions:
Na1 0.2500 0.0000 0.5000
Sr1 0.5000 0.5000 0.5000
Ag1 0.7500 0.5000 0.0000
Ag2 0.0000 0.2500 0.5000
Na2 0.0000 0.5000 0.2500
Na3 0.5000 0.2500 0.0000
Na4 0.0000 0.5000 0.7500
Na5 0.7500 0.0000 0.5000
Ag3 0.5000 0.0000 0.7500
Na6 0.5000 0.7500 0.0000
Ag4 0.2500 0.5000 0.0000
Ag5 0.0000 0.7500 0.5000
Sr2 0.0000 0.0000 0.0000
Ag6 0.5000 0.0000 0.2500

Computed properties:
- ΔE_f (eV per atom) = 0.27
- ρ (g/cm3) = 3.25
- space group = Pm-3n

# NaSr3Ag8

A geometry-optimized NaSr3Ag8 structure (PBE, the Alexandria database).

a b c (Å): 5.8939 5.8939 10.2019
angles (deg): 73.21 73.21 60.00
Fractional positions:
Na1 0.8721 0.8721 0.3838
Ag1 0.1879 0.1879 0.4362
Sr1 0.3766 0.3766 0.8702
Ag2 0.4375 0.9382 0.6862
Ag3 0.6876 0.6876 0.9372
Sr2 0.5050 0.5050 0.4849
Ag4 0.9410 0.4358 0.1873
Ag5 0.4358 0.4358 0.1873
Ag6 0.4358 0.9410 0.1873
Ag7 0.9382 0.9382 0.6862
Sr3 0.9943 0.9943 0.0171
Ag8 0.9382 0.4375 0.6862

Computed properties:
- ΔE_f (eV per atom) = -0.18
- ρ (g/cm3) = 6.59
- space group = R3m

# NaSr2Ag6

A geometry-optimized NaSr2Ag6 structure (PBE, the Alexandria database).

a b c (Å): 3.9380 8.3240 8.3240
angles (deg): 120.00 90.00 90.00
Fractional positions:
Ag1 0.5000 0.6677 0.6677
Ag2 0.5000 0.6677 0.0000
Ag3 0.5000 0.0000 0.6677
Ag4 0.5000 0.3323 0.0000
Na1 0.0000 0.0000 0.0000
Ag5 0.5000 0.0000 0.3323
Ag6 0.5000 0.3323 0.3323
Sr1 0.0000 0.6667 0.3333
Sr2 0.0000 0.3333 0.6667

Computed properties:
- ΔE_f (eV per atom) = -0.15
- ρ (g/cm3) = 5.94
- space group = P6/mmm

# NaSrAg4

A geometry-optimized NaSrAg4 structure (PBE, the Alexandria database).

a b c (Å): 5.8137 5.8137 5.8137
angles (deg): 60.00 60.00 60.00
Fractional positions:
Sr1 0.2500 0.2500 0.2500
Ag1 0.6255 0.6255 0.1235
Ag2 0.6255 0.1235 0.6255
Ag3 0.1235 0.6255 0.6255
Ag4 0.6255 0.6255 0.6255
Na1 0.0000 0.0000 0.0000

Computed properties:
- ΔE_f (eV per atom) = -0.17
- ρ (g/cm3) = 6.48
- space group = F-43m

| no. | final energy (eV per atom) |
| --- | --- |
| 1 | -1.75 |
| 2 | -2.61 |
| 3 | -2.58 |
| 4 | -2.57 |